(1)
Computed, not measured: Cs3NaCe2S6 after structural relaxation at the PBE level of DFT.

Cell lengths 7.336, 7.336, 8.344 Å; angles 98.32, 98.32, 120.03 degrees
Fractional positions:
S: 0.699 0.699 0.179
S: 0.938 0.574 0.814
S: 0.426 0.062 0.186
S: 0.301 0.301 0.821
S: 0.062 0.426 0.186
S: 0.574 0.938 0.814
Cs: 0.844 0.156 0.500
Cs: 0.500 0.500 0.500
Cs: 0.156 0.844 0.500
Ce: 0.332 0.668 0.000
Ce: 0.668 0.332 0.000
Na: 0.000 0.000 0.000

Output
- Uncorrected energy: -59.18 eV/f.u.
- Raw formation energy: -1.5559 eV per atom

***

(2)
Computed, not measured: CaY4S4 after structural relaxation at the PBE level of DFT.

Cell lengths 3.896, 6.792, 8.680 Å; angles 75.24, 77.03, 73.34 degrees
Fractional positions:
Y: 0.301 0.607 0.791
Y: 0.901 0.799 0.399
Y: 0.099 0.201 0.601
Y: 0.699 0.393 0.209
S: 0.104 0.694 0.098
S: 0.301 0.094 0.303
S: 0.896 0.306 0.902
S: 0.699 0.906 0.697
Ca: 0.500 0.000 0.000

Output
- Uncorrected energy: -60.43 eV/f.u.
- Raw formation energy: -1.7843 eV per atom

***

(3)
Computed, not measured: CaTm2Ni after structural relaxation at the PBE level of DFT.

Cell lengths 3.812, 3.812, 10.372 Å; angles 79.41, 79.41, 60.00 degrees
Fractional positions:
Ca: 0.000 0.000 0.000
Ni: 0.500 0.500 0.500
Tm: 0.119 0.119 0.644
Tm: 0.881 0.881 0.356

Output
- Uncorrected energy: -16.80 eV/f.u.
- Excess energy over the best structure of this formula in the dataset: 0.150 eV/atom
- E_form: -0.019 eV/atom

***

(4)
Computed, not measured: ZnAg2P after structural relaxation at the PBE level of DFT.

Cell lengths 4.588, 4.588, 4.588 Å; angles 60.00, 60.00, 60.00 degrees
Fractional positions:
Zn: 0.250 0.250 0.250
Ag: 0.000 0.000 0.000
Ag: 0.750 0.750 0.750
P: 0.500 0.500 0.500

Output
- Uncorrected energy: -11.34 eV/f.u.
- Excess energy over the best structure of this formula in the dataset: 0.099 eV/atom
- E_form: 0.263 eV/atom

***

(5)
Computed, not measured: GdTlIn after structural relaxation at the PBE level of DFT.

Cell lengths 3.617, 3.617, 6.765 Å; angles 105.51, 105.51, 90.00 degrees
Each line ends with the local moment (μB).
Fractional positions:
In: 0.287 0.287 0.574  0.00
Gd: 0.619 0.619 0.238  7.30
Tl: 0.944 0.944 0.887  0.01

Output
- Uncorrected energy: -19.92 eV/f.u.
- Excess energy over the best structure of this formula in the dataset: 0.069 eV/atom
- E_form: -0.245 eV/atom

***

(6)
Computed, not measured: OsSeS2 after structural relaxation at the PBE level of DFT.

Cell lengths 12.592, 12.592, 12.592 Å; angles 12.65, 12.65, 12.65 degrees
Each line ends with the local moment (μB).
Fractional positions:
Se: 0.500 0.500 0.500  0.15
S: 0.060 0.060 0.060  0.00
S: 0.940 0.940 0.940  0.00
Os: 0.000 0.000 0.000  0.00

Output
- Uncorrected energy: -20.94 eV/f.u.
- Raw formation energy: 0.5082 eV per atom

***

(7)
Computed, not measured: TmPuSn6 after structural relaxation at the PBE level of DFT.

Cell lengths 4.729, 4.729, 9.166 Å; angles 90.00, 90.00, 90.00 degrees
Each line ends with the local moment (μB).
Fractional positions:
Tm: 0.000 0.000 0.000  -0.08
Sn: 0.000 0.500 0.750  0.00
Sn: 0.500 0.000 0.750  0.00
Sn: 0.000 0.500 0.250  0.00
Sn: 0.500 0.500 0.000  0.02
Sn: 0.500 0.000 0.250  0.00
Sn: 0.500 0.500 0.500  -0.02
Pu: 0.000 0.000 0.500  5.37

Output
- Uncorrected energy: -45.76 eV/f.u.
- E_form: -0.367 eV/atom

***

(8)
Computed, not measured: Cs2SnHgSb after structural relaxation at the PBE level of DFT.

Cell lengths 4.609, 10.973, 11.814 Å; angles 120.58, 90.00, 90.00 degrees
Fractional positions:
Sb: 0.750 0.420 0.703
Sb: 0.250 0.580 0.297
Cs: 0.750 0.726 0.601
Cs: 0.250 0.264 0.874
Cs: 0.750 0.736 0.126
Cs: 0.250 0.274 0.399
Sn: 0.250 0.603 0.819
Sn: 0.750 0.397 0.181
Hg: 0.250 0.915 0.911
Hg: 0.750 0.085 0.089

Output
- Uncorrected energy: -11.65 eV/f.u.
- Raw formation energy: -0.3038 eV per atom

***

(9)
Computed, not measured: NbCrGe2 after structural relaxation at the PBE level of DFT.

Cell lengths 2.947, 2.947, 8.414 Å; angles 79.91, 79.91, 60.00 degrees
Fractional positions:
Ge: 0.742 0.742 0.773
Ge: 0.258 0.258 0.227
Cr: 0.000 0.000 0.000
Nb: 0.500 0.500 0.500

Output
- Uncorrected energy: -28.51 eV/f.u.
- Excess energy over the best structure of this formula in the dataset: 0.039 eV/atom
- E_form: 0.104 eV/atom

***

(10)
Computed, not measured: TbHfAgPd after structural relaxation at the PBE level of DFT.

Cell lengths 4.913, 4.913, 4.913 Å; angles 60.00, 60.00, 60.00 degrees
Fractional positions:
Hf: 0.000 0.000 0.000
Pd: 0.750 0.750 0.750
Ag: 0.250 0.250 0.250
Tb: 0.500 0.500 0.500

Output
- Uncorrected energy: -24.00 eV/f.u.
- E_form: -0.344 eV/atom

***

(11)
Computed, not measured: DyTh3Ni8 after structural relaxation at the PBE level of DFT.

Cell lengths 5.157, 5.157, 8.926 Å; angles 73.21, 73.21, 60.00 degrees
Fractional positions:
Ni: 0.440 0.938 0.685
Ni: 0.437 0.936 0.191
Ni: 0.936 0.437 0.191
Ni: 0.688 0.688 0.937
Ni: 0.188 0.188 0.437
Ni: 0.938 0.440 0.685
Ni: 0.437 0.437 0.191
Ni: 0.938 0.938 0.685
Dy: 0.875 0.875 0.375
Th: 0.375 0.375 0.876
Th: 0.501 0.501 0.496
Th: 0.999 0.999 0.003

Output
- Uncorrected energy: -77.56 eV/f.u.
- E_form: -0.371 eV/atom

***

(12)
Computed, not measured: K2CaMnBr6 after structural relaxation at the PBE level of DFT.

Cell lengths 7.794, 7.793, 7.694 Å; angles 59.55, 59.58, 59.99 degrees
Each line ends with the local moment (μB).
Fractional positions:
K: 0.549 0.549 0.354  0.00
K: 0.083 0.083 0.750  0.00
Br: 0.634 0.081 0.806  0.03
Br: 0.081 0.479 0.805  0.03
Br: 0.153 0.998 0.298  0.03
Br: 0.551 0.153 0.298  0.03
Br: 0.998 0.552 0.297  0.03
Br: 0.479 0.634 0.805  0.03
Ca: 0.816 0.816 0.551  0.02
Mn: 0.316 0.316 0.051  4.41

Output
- Uncorrected energy: -38.70 eV/f.u.
- Raw formation energy: -1.5298 eV per atom

***

(13)
Computed, not measured: TbPr2Ho3Se6 after structural relaxation at the PBE level of DFT.

Cell lengths 4.094, 8.360, 9.277 Å; angles 104.17, 102.75, 90.00 degrees
Fractional positions:
Pr: 0.832 0.664 0.664
Pr: 0.168 0.336 0.336
Se: 0.005 0.750 0.010
Se: 0.334 0.930 0.668
Se: 0.338 0.406 0.677
Se: 0.666 0.070 0.332
Se: 0.995 0.250 0.990
Se: 0.662 0.594 0.323
Ho: 0.830 0.166 0.660
Ho: 0.500 0.500 0.000
Ho: 0.170 0.834 0.340
Tb: 0.500 0.000 0.000

Output
- Uncorrected energy: -70.11 eV/f.u.
- Raw formation energy: -1.7732 eV per atom

***

(14)
Computed, not measured: RbBeO3 after structural relaxation at the PBE level of DFT.

Cell lengths 3.799, 3.799, 3.799 Å; angles 90.00, 90.00, 90.00 degrees
Each line ends with the local moment (μB).
Fractional positions:
Be: 0.000 0.000 0.000  -0.03
O: 0.000 0.500 0.000  0.79
O: 0.000 0.000 0.500  0.91
O: 0.500 0.000 0.000  0.81
Rb: 0.500 0.500 0.500  0.06

Output
- Uncorrected energy: -22.67 eV/f.u.
- Raw formation energy: -0.6207 eV per atom

***

(15)
Computed, not measured: CrGaAs2Br after structural relaxation at the PBE level of DFT.

Cell lengths 4.858, 4.858, 5.128 Å; angles 90.00, 90.00, 90.00 degrees
Each line ends with the local moment (μB).
Fractional positions:
Cr: 0.500 0.500 0.500  0.07
As: 0.500 0.000 0.000  0.05
As: 0.000 0.500 0.000  0.05
Br: 0.000 0.000 0.500  0.04
Ga: 0.000 0.000 0.000  0.00

Output
- Uncorrected energy: -17.56 eV/f.u.
- Excess energy over the best structure of this formula in the dataset: 1.047 eV/atom
- Raw formation energy: 1.2122 eV per atom

***

(16)
Computed, not measured: DyTm4Zn4 after structural relaxation at the PBE level of DFT.

Cell lengths 5.801, 8.976, 8.976 Å; angles 90.00, 90.00, 90.00 degrees
Fractional positions:
Tm: 0.888 0.410 0.178
Tm: 0.112 0.178 0.590
Tm: 0.112 0.822 0.410
Tm: 0.888 0.590 0.822
Tm: 0.388 0.322 0.910
Tm: 0.388 0.678 0.090
Tm: 0.612 0.090 0.322
Tm: 0.612 0.910 0.678
Zn: 0.379 0.636 0.773
Zn: 0.379 0.364 0.227
Zn: 0.879 0.727 0.136
Zn: 0.621 0.227 0.636
Zn: 0.121 0.864 0.727
Zn: 0.621 0.773 0.364
Zn: 0.879 0.273 0.864
Zn: 0.121 0.136 0.273
Dy: 0.000 0.000 0.000
Dy: 0.500 0.500 0.500

Output
- Uncorrected energy: -28.12 eV/f.u.
- E_form: -0.059 eV/atom

***

(17)
Computed, not measured: Pa3Ni2P2H4 after structural relaxation at the PBE level of DFT.

Cell lengths 3.847, 3.847, 10.068 Å; angles 101.01, 101.01, 90.00 degrees
Each line ends with the local moment (μB).
Fractional positions:
Ni: 0.432 0.432 0.863  -0.05
Ni: 0.568 0.568 0.137  -0.05
Pa: 0.834 0.834 0.668  0.62
Pa: 0.166 0.166 0.332  0.62
Pa: 0.000 0.000 0.000  0.91
H: 0.576 0.076 0.152  -0.01
H: 0.076 0.576 0.152  -0.01
H: 0.924 0.424 0.848  -0.01
H: 0.424 0.924 0.848  -0.01
P: 0.310 0.310 0.619  -0.02
P: 0.690 0.690 0.381  -0.02

Output
- Uncorrected energy: -70.34 eV/f.u.

***

(18)
Computed, not measured: CdN3Cl after structural relaxation at the PBE level of DFT.

Cell lengths 3.841, 3.841, 3.841 Å; angles 90.00, 90.00, 90.00 degrees
Fractional positions:
N: 0.500 0.000 0.000
N: 0.000 0.000 0.500
N: 0.000 0.500 0.000
Cl: 0.000 0.000 0.000
Cd: 0.500 0.500 0.500

Output
- Uncorrected energy: -15.06 eV/f.u.
- Raw formation energy: 2.5365 eV per atom

***

(19)
Computed, not measured: TbAl after structural relaxation at the PBE level of DFT.

Cell lengths 3.614, 3.614, 3.614 Å; angles 90.00, 90.00, 90.00 degrees
Fractional positions:
Al: 0.000 0.000 0.000
Tb: 0.500 0.500 0.500

Output
- Uncorrected energy: -9.17 eV/f.u.
- E_form: -0.397 eV/atom

***

(20)
Computed, not measured: NiBiP3 after structural relaxation at the PBE level of DFT.

Cell lengths 3.280, 5.740, 5.801 Å; angles 67.20, 73.21, 73.40 degrees
Fractional positions:
P: 0.925 0.065 0.181
P: 0.421 0.556 0.698
P: 0.807 0.863 0.619
Bi: 0.681 0.551 0.211
Ni: 0.550 0.089 0.910

Output
- Uncorrected energy: -25.79 eV/f.u.
- Excess energy over the best structure of this formula in the dataset: 0.103 eV/atom
- E_form: 0.020 eV/atom

***

(21)
Computed, not measured: TaInTe2 after structural relaxation at the PBE level of DFT.

Cell lengths 5.282, 3.824, 5.388 Å; angles 69.36, 90.00, 90.00 degrees
Fractional positions:
Ta: 0.500 0.927 0.768
In: 0.000 0.536 0.555
Te: 0.500 0.214 0.196
Te: 0.000 0.824 0.982

Output
- Uncorrected energy: -20.12 eV/f.u.
- Raw formation energy: 0.1887 eV per atom

***

(22)
Computed, not measured: La2Pr3Sm6Tl after structural relaxation at the PBE level of DFT.

Cell lengths 6.270, 6.270, 12.058 Å; angles 95.03, 95.03, 120.05 degrees
Fractional positions:
Sm: 0.757 0.757 0.249
Sm: 0.407 0.082 0.247
Sm: 0.593 0.918 0.753
Sm: 0.918 0.593 0.753
Sm: 0.082 0.407 0.247
Sm: 0.243 0.243 0.751
La: 0.666 0.334 0.000
La: 0.334 0.666 0.000
Pr: 0.500 0.500 0.500
Pr: 0.831 0.169 0.500
Pr: 0.169 0.831 0.500
Tl: 0.000 0.000 0.000

Output
- Uncorrected energy: -55.34 eV/f.u.
- E_form: -0.039 eV/atom

***

(23)
Computed, not measured: Ta2PbCl after structural relaxation at the PBE level of DFT.

Cell lengths 5.240, 5.240, 5.240 Å; angles 130.66, 130.66, 72.36 degrees
Fractional positions:
Cl: 0.500 0.500 0.000
Ta: 0.000 0.000 0.000
Ta: 0.250 0.750 0.500
Pb: 0.750 0.250 0.500

Output
- Uncorrected energy: -26.10 eV/f.u.
- Excess energy over the best structure of this formula in the dataset: 0.871 eV/atom
- Raw formation energy: 0.7913 eV per atom

***

(24)
Computed, not measured: TbSm2Y2Mg after structural relaxation at the PBE level of DFT.

Cell lengths 6.796, 6.400, 10.007 Å; angles 108.65, 109.85, 90.00 degrees
Fractional positions:
Tb: 0.000 0.250 0.000
Tb: 0.000 0.750 0.000
Mg: 0.500 0.750 0.000
Mg: 0.500 0.250 0.000
Sm: 0.686 0.848 0.696
Sm: 0.991 0.652 0.304
Sm: 0.009 0.348 0.696
Sm: 0.314 0.152 0.304
Y: 0.504 0.347 0.695
Y: 0.191 0.847 0.695
Y: 0.809 0.153 0.305
Y: 0.496 0.653 0.305

Output
- Uncorrected energy: -27.46 eV/f.u.
- E_form: 0.188 eV/atom

***

(25)
Computed, not measured: La2HfCo9 after structural relaxation at the PBE level of DFT.

Cell lengths 4.869, 4.869, 8.994 Å; angles 74.29, 74.29, 60.00 degrees
Each line ends with the local moment (μB).
Fractional positions:
Co: 0.500 0.500 0.500  0.65
Co: 0.079 0.574 0.773  1.24
Co: 0.426 0.921 0.227  1.24
Co: 0.921 0.426 0.227  1.24
Co: 0.574 0.079 0.773  1.24
Co: 0.574 0.574 0.773  1.24
Co: 0.667 0.667 0.998  1.22
Co: 0.333 0.333 0.002  1.22
Co: 0.426 0.426 0.227  1.24
La: 0.138 0.138 0.585  -0.22
La: 0.862 0.862 0.415  -0.22
Hf: 0.000 0.000 0.000  -0.35

Output
- Uncorrected energy: -84.64 eV/f.u.
- E_form: -0.073 eV/atom

***

| no. | theoretical density (g/cm³) |
| --- | --- |
| 1 | 4.0 |
| 2 | 4.1 |
| 3 | 5.7 |
| 4 | 7.6 |
| 5 | 9.7 |
| 6 | 6.6 |
| 7 | 9.1 |
| 8 | 4.6 |
| 9 | 7.8 |
| 10 | 10.9 |
| 11 | 11.4 |
| 12 | 3.3 |
| 13 | 7.8 |
| 14 | 4.3 |
| 15 | 4.8 |
| 16 | 7.8 |
| 17 | 10.1 |
| 18 | 5.6 |
| 19 | 6.5 |
| 20 | 6.3 |
| 21 | 9.0 |
| 22 | 7.4 |
| 23 | 12.4 |
| 24 | 5.7 |
| 25 | 9.3 |